The following is a DFT calculation (PBE) of crystalline Tm3AsS2 at its relaxed geometry.

abc: 5.540 5.543 8.773
angles: 108.41 90.00 90.00
Atoms (fractional coordinates):
Tm1 0.500 0.332 0.664
Tm2 0.000 0.835 0.669
Tm3 0.500 0.668 0.336
Tm4 0.000 0.165 0.331
Tm5 0.000 0.500 0.000
Tm6 0.500 0.000 0.000
As1 0.000 0.334 0.667
As2 0.000 0.666 0.333
S1 0.500 0.835 0.669
S2 0.500 0.165 0.331
S3 0.000 0.000 0.000
S4 0.500 0.500 0.000

For the total energy, the calculation gives -0.2279 Ha/atom. The value obtained for the energy relative to the elements, uncorrected is -10.885 eV/f.u. As for the magnetization: 0.0 μB/f.u.

=====

The following is a DFT calculation (PBE) of crystalline Tm2AsS2 at its relaxed geometry.

abc: 6.823 6.823 6.346
angles: 111.05 111.05 93.46
Atoms (fractional coordinates):
Tm1 0.402 0.598 0.250
Tm2 0.830 0.170 0.250
Tm3 0.170 0.830 0.750
Tm4 0.598 0.402 0.750
As1 0.122 0.878 0.250
As2 0.878 0.122 0.750
S1 0.780 0.572 0.533
S2 0.428 0.220 0.967
S3 0.572 0.780 0.033
S4 0.220 0.428 0.467

For the total energy, the calculation gives -0.2123 Ha/atom. The value obtained for the energy relative to the elements, uncorrected is -7.036 eV/f.u. As for the magnetization: 0.0 μB/f.u.